(1)
The following is a DFT calculation (PBE-GGA) of crystalline P2OsPdCl at its relaxed geometry.

The structure in POSCAR format:
```
P2OsPdCl
1.0
4.508 0.000 0.000
0.000 4.508 0.000
0.000 0.000 4.378
P Os Pd Cl
2 1 1 1
Direct
0.000 0.500 0.000 P
0.500 0.000 0.000 P
0.000 0.000 0.500 Os
0.500 0.500 0.500 Pd
0.000 0.000 0.000 Cl
```

Results
formation energy without anion corrections = 170.4 kJ per mole of atoms
space-group type = P4/mmm, No. 123
excess energy over the best structure of this formula in the dataset = 1105 meV/atom
uncorrected energy = -20.257 eV/cell

(2)
The following is a DFT calculation (PBE-GGA) of crystalline BeCrPtSe2 at its relaxed geometry.

The structure in POSCAR format:
```
BeCrPtSe2
1.0
4.394 0.000 0.000
0.000 4.394 0.000
0.000 0.000 4.283
Be Cr Pt Se
1 1 1 2
Direct
0.000 0.000 0.000 Be
0.000 0.000 0.500 Cr
0.500 0.500 0.500 Pt
0.000 0.500 0.000 Se
0.500 0.000 0.000 Se
```

Results
formation energy without anion corrections = 58.6 kJ per mole of atoms
space-group type = P4/mmm, No. 123
uncorrected energy = -23.321 eV/cell

(3)
The following is a DFT calculation (PBE-GGA) of crystalline Dy6TeRu2 at its relaxed geometry.

The structure in POSCAR format:
```
Dy6TeRu2
1.0
7.088 -1.969 0.000
7.088 1.969 0.000
-1.793 0.000 8.955
Dy Te Ru
6 1 2
Direct
0.033 0.033 0.344 Dy
0.243 0.243 0.654 Dy
0.354 0.354 0.089 Dy
0.646 0.646 0.911 Dy
0.757 0.757 0.346 Dy
0.967 0.967 0.656 Dy
0.000 0.000 0.000 Te
0.394 0.394 0.417 Ru
0.606 0.606 0.583 Ru
```

Results
formation energy without anion corrections = -43.2 kJ per mole of atoms
space-group type = C2/m, No. 12
uncorrected energy = -53.335 eV/cell

(4)
The following is a DFT calculation (PBE-GGA) of crystalline CsVHW2 at its relaxed geometry.

The structure in POSCAR format:
```
CsVHW2
1.0
3.934 0.000 0.000
0.000 3.934 0.000
0.000 0.000 5.579
Cs V H W
1 1 1 2
Direct
0.000 0.000 0.000 Cs
0.500 0.500 0.000 V
0.500 0.500 0.500 H
0.000 0.500 0.500 W
0.500 0.000 0.500 W
```

Results
space-group type = P4/mmm, No. 123
uncorrected energy = -30.688 eV/cell

(5)
The following is a DFT calculation (PBE-GGA) of crystalline Nd6Ir2I3N at its relaxed geometry.

The structure in POSCAR format:
```
Nd6Ir2I3N
1.0
3.557 -6.143 0.000
3.557 6.143 0.000
-2.337 0.000 8.046
Nd Ir I N
6 2 3 1
Direct
0.058 0.371 0.177 Nd
0.256 0.256 0.822 Nd
0.371 0.058 0.177 Nd
0.629 0.942 0.823 Nd
0.744 0.744 0.178 Nd
0.942 0.629 0.823 Nd
0.333 0.667 0.000 Ir
0.667 0.333 0.000 Ir
0.168 0.832 0.500 I
0.500 0.500 0.500 I
0.832 0.168 0.500 I
0.000 0.000 0.000 N
```

Results
formation energy without anion corrections = -96.6 kJ per mole of atoms
space-group type = C2/m, No. 12
uncorrected energy = -71.317 eV/cell

(6)
The following is a DFT calculation (PBE-GGA) of crystalline NbZn3Au4 at its relaxed geometry.

The structure in POSCAR format:
```
NbZn3Au4
1.0
3.074 0.000 0.000
0.000 3.074 0.000
0.000 0.000 14.094
Nb Zn Au
1 3 4
Direct
0.000 0.000 0.000 Nb
0.000 0.000 0.257 Zn
0.000 0.000 0.500 Zn
0.000 0.000 0.743 Zn
0.500 0.500 0.136 Au
0.500 0.500 0.379 Au
0.500 0.500 0.621 Au
0.500 0.500 0.864 Au
```

Results
space-group type = P4/mmm, No. 123
uncorrected energy = -28.466 eV/cell
ΔH_f (0 K) = -0.183 eV per atom

(7)
The following is a DFT calculation (PBE-GGA) of crystalline TbPmEuTl at its relaxed geometry.

The structure in POSCAR format:
```
TbPmEuTl
1.0
0.000 3.965 3.965
3.965 0.000 3.965
3.965 3.965 0.000
Tb Pm Eu Tl
1 1 1 1
Direct
0.000 0.000 0.000 Tb
0.250 0.250 0.250 Pm
0.500 0.500 0.500 Eu
0.750 0.750 0.750 Tl
```

Results
space-group type = F-43m, No. 216
uncorrected energy = -22.039 eV/cell
ΔH_f (0 K) = -0.004 eV per atom

(8)
The following is a DFT calculation (PBE-GGA) of crystalline RbPtC3 at its relaxed geometry.

The structure in POSCAR format:
```
RbPtC3
1.0
4.318 0.000 0.000
0.000 4.318 0.000
0.000 0.000 4.318
Rb Pt C
1 1 3
Direct
0.000 0.000 0.000 Rb
0.500 0.500 0.500 Pt
0.000 0.000 0.500 C
0.000 0.500 0.000 C
0.500 0.000 0.000 C
```

Results
space-group type = Pm-3m, No. 221
excess energy over the best structure of this formula in the dataset = 2232 meV/atom
uncorrected energy = -11.896 eV/cell
ΔH_f (0 K) = 4.557 eV per atom